{
  "formula": "Tb2Fe14B",
  "functional": "PBE",
  "state": "optimized geometry",
  "rho_g_cm3": 8.1,
  "energy_ev_per_atom": -7.88,
  "lattice_angstrom": [[-6.0049, 2.7313, 5.6994], [-2.7576, -8.2063, 1.0271], [7.7867, -1.4998, 8.9229]],
  "species": ["Fe", "Fe", "Fe", "Tb", "Fe", "Fe", "Fe", "Fe", "Tb", "B", "B", "B", "Fe", "Fe", "Fe", "Fe", "Fe", "Fe", "Fe", "Fe", "Fe", "Fe", "Fe", "Fe", "Fe", "Fe", "Fe", "Fe", "Fe", "Fe", "Fe", "Tb", "Fe", "Fe", "Fe", "Tb", "Fe", "Fe", "Fe", "Fe", "Fe", "Fe", "Tb", "Tb", "B", "Fe", "Fe", "Fe", "Fe", "Fe", "Fe", "Fe", "Fe", "Fe", "Fe", "Tb", "Fe", "Fe", "Fe", "Fe", "Fe", "Fe", "Fe", "Fe", "Fe", "Tb", "Fe", "Fe"],
  "fractional_positions": [[0.7245, 0.0664, 0.8733], [0.0000, 0.5000, 0.0000], [0.9027, 0.0973, 0.2988], [0.1435, 0.1435, 0.5000], [0.3589, 0.9629, 0.3251], [0.9629, 0.3589, 0.6749], [0.8589, 0.5371, 0.1749], [0.5000, 0.5000, 0.3843], [0.3565, 0.6435, 0.0000], [0.6247, 0.6247, 0.5000], [0.8753, 0.1247, 0.0000], [0.1247, 0.8753, 0.0000], [0.0000, 0.5000, 0.5000], [0.5000, 0.0000, 0.5000], [0.2755, 0.9336, 0.8733], [0.4336, 0.2245, 0.6267], [0.8589, 0.5371, 0.8251], [0.0000, 0.0000, 0.8843], [0.9629, 0.3589, 0.3251], [0.5664, 0.7755, 0.3733], [0.9336, 0.2755, 0.1267], [0.6411, 0.0371, 0.3251], [0.9027, 0.0973, 0.7012], [0.0973, 0.9027, 0.2988], [0.5371, 0.8589, 0.8251], [0.6411, 0.0371, 0.6749], [0.0664, 0.7245, 0.8733], [0.1827, 0.1827, 0.7541], [0.7245, 0.0664, 0.1267], [0.5973, 0.5973, 0.7988], [0.5371, 0.8589, 0.1749], [0.8565, 0.8565, 0.5000], [0.8173, 0.8173, 0.7541], [0.7755, 0.5664, 0.3733], [0.5000, 0.5000, 0.6157], [0.2675, 0.7325, 0.5000], [0.1411, 0.4629, 0.1749], [0.3589, 0.9629, 0.6749], [0.8173, 0.8173, 0.2459], [0.3173, 0.6827, 0.7459], [0.6827, 0.3173, 0.2541], [0.9336, 0.2755, 0.8733], [0.2325, 0.2325, 0.0000], [0.6435, 0.3565, 0.0000], [0.3753, 0.3753, 0.5000], [0.4336, 0.2245, 0.3733], [0.6827, 0.3173, 0.7459], [0.4629, 0.1411, 0.8251], [0.7755, 0.5664, 0.6267], [0.5000, 0.0000, 0.0000], [0.0371, 0.6411, 0.3251], [0.5664, 0.7755, 0.6267], [0.4027, 0.4027, 0.7988], [0.2245, 0.4336, 0.6267], [0.0371, 0.6411, 0.6749], [0.7675, 0.7675, 0.0000], [0.1411, 0.4629, 0.8251], [0.0973, 0.9027, 0.7012], [0.1827, 0.1827, 0.2459], [0.0000, 0.0000, 0.1157], [0.4027, 0.4027, 0.2012], [0.2245, 0.4336, 0.3733], [0.0664, 0.7245, 0.1267], [0.4629, 0.1411, 0.1749], [0.5973, 0.5973, 0.2012], [0.7325, 0.2675, 0.5000], [0.3173, 0.6827, 0.2541], [0.2755, 0.9336, 0.1267]]
}



{
  "formula": "Tb2Fe14B",
  "functional": "PBE",
  "state": "optimized geometry",
  "rho_g_cm3": 8.1,
  "energy_ev_per_atom": -7.88,
  "lattice_angstrom": [[8.7221, 0.0000, 0.0000], [0.0000, 8.7221, 0.0000], [0.0000, 0.0000, 11.9321]],
  "species": ["Fe", "Fe", "Fe", "Fe", "Fe", "Fe", "Fe", "Fe", "Fe", "Fe", "Tb", "Fe", "Fe", "Fe", "Fe", "Fe", "Fe", "Fe", "Fe", "Fe", "Tb", "Fe", "Fe", "Fe", "Fe", "Tb", "Tb", "Fe", "Fe", "Fe", "Fe", "Fe", "Fe", "Tb", "Fe", "Tb", "B", "Fe", "Fe", "B", "Tb", "Fe", "Fe", "Fe", "Fe", "Fe", "Fe", "Fe", "Fe", "B", "Fe", "Fe", "Fe", "Fe", "Fe", "Fe", "Tb", "Fe", "Fe", "B", "Fe", "Fe", "Fe", "Fe", "Fe", "Fe", "Fe", "Fe"],
  "fractional_positions": [[0.9027, 0.9027, 0.2010], [0.0663, 0.2755, 0.3732], [0.1829, 0.8171, 0.2540], [0.7755, 0.4337, 0.1268], [0.5000, 0.5000, 0.8842], [0.0000, 0.0000, 0.3842], [0.3590, 0.0371, 0.8251], [0.2245, 0.5663, 0.8732], [0.9027, 0.9027, 0.7990], [0.4337, 0.7755, 0.8732], [0.3565, 0.3565, 0.5000], [0.8171, 0.1829, 0.2540], [0.1829, 0.8171, 0.7460], [0.5663, 0.2245, 0.8732], [0.9337, 0.7245, 0.6268], [0.7245, 0.9337, 0.3732], [0.9629, 0.6410, 0.1749], [0.0663, 0.2755, 0.6268], [0.4629, 0.8590, 0.6749], [0.2755, 0.0663, 0.3732], [0.2677, 0.2677, 0.0000], [0.6410, 0.9629, 0.8251], [0.4027, 0.5973, 0.7010], [0.5973, 0.4027, 0.7010], [0.3171, 0.3171, 0.7540], [0.8565, 0.1435, 0.0000], [0.6435, 0.6435, 0.5000], [0.9629, 0.6410, 0.8251], [0.7245, 0.9337, 0.6268], [0.0371, 0.3590, 0.8251], [0.4629, 0.8590, 0.3251], [0.0973, 0.0973, 0.7990], [0.8590, 0.4629, 0.6749], [0.7677, 0.2323, 0.5000], [0.5663, 0.2245, 0.1268], [0.7323, 0.7323, 0.0000], [0.3754, 0.6246, 0.0000], [0.6829, 0.6829, 0.7540], [0.1410, 0.5371, 0.6749], [0.8754, 0.8754, 0.5000], [0.2323, 0.7677, 0.5000], [0.4337, 0.7755, 0.1268], [0.5973, 0.4027, 0.2990], [0.3171, 0.3171, 0.2460], [0.9337, 0.7245, 0.3732], [0.5371, 0.1410, 0.3251], [0.2245, 0.5663, 0.1268], [0.6829, 0.6829, 0.2460], [0.5371, 0.1410, 0.6749], [0.6246, 0.3754, 0.0000], [0.8171, 0.1829, 0.7460], [0.0973, 0.0973, 0.2010], [0.0000, 0.5000, 0.0000], [0.5000, 0.5000, 0.1158], [0.2755, 0.0663, 0.6268], [0.5000, 0.0000, 0.5000], [0.1435, 0.8565, 0.0000], [0.6410, 0.9629, 0.1749], [0.5000, 0.0000, 0.0000], [0.1246, 0.1246, 0.5000], [0.7755, 0.4337, 0.8732], [0.0371, 0.3590, 0.1749], [0.3590, 0.0371, 0.1749], [0.0000, 0.5000, 0.5000], [0.4027, 0.5973, 0.2990], [0.1410, 0.5371, 0.3251], [0.8590, 0.4629, 0.3251], [0.0000, 0.0000, 0.6158]]
}



{
  "formula": "TbFeB4",
  "functional": "PBE",
  "state": "optimized geometry",
  "rho_g_cm3": 7.6,
  "energy_ev_per_atom": -6.93,
  "lattice_angstrom": [[3.1436, 0.0000, 0.0000], [-1.5718, 2.7225, 0.0000], [0.0000, 0.0000, 6.5899]],
  "species": ["B", "Fe", "B", "Tb", "B", "B"],
  "fractional_positions": [[0.6667, 0.3333, 0.3013], [0.0000, 0.0000, 0.5000], [0.3333, 0.6667, 0.6987], [0.0000, 0.0000, 0.0000], [0.6667, 0.3333, 0.6987], [0.3333, 0.6667, 0.3013]]
}



{
  "formula": "TbFeB4",
  "functional": "PBE",
  "state": "optimized geometry",
  "rho_g_cm3": 7.0,
  "energy_ev_per_atom": -6.79,
  "lattice_angstrom": [[-1.5653, 2.6796, 3.6471], [1.5653, -2.6796, 3.6471], [1.5653, 2.6796, -3.6471]],
  "species": ["B", "B", "Fe", "Tb", "B", "B"],
  "fractional_positions": [[0.5819, 0.2492, 0.3327], [0.4181, 0.7508, 0.6673], [0.5000, 0.5000, 0.0000], [0.0000, 0.0000, 0.0000], [0.0836, 0.7508, 0.3327], [0.9164, 0.2492, 0.6673]]
}